## CrFeOs2 (GGA-PBE)

Data for a relaxed CrFeOs2 crystal.

## Properties
Energy of formation from the pure elements = 0.124 eV/atom
Crystal system = orthorhombic
Size of the total moment = 0.0 μB/f.u.
Calculated volume = 51 Å³/cell

a = 2.655 Å, b = 3.689 Å, c = 5.251 Å
α = 90.00°, β = 90.00°, γ = 90.00°
Element x y z (fractional)
Os1 0.500 0.500 0.259
Os2 0.000 0.000 0.980
Fe1 0.500 0.500 0.744
Cr1 0.000 0.000 0.517